A plane-wave DFT calculation with GGA-PBE was carried out for a geometry-optimized CaMgB2 structure.

a = 4.157 Å, b = 4.157 Å, c = 15.624 Å
α = 90.00°, β = 90.00°, γ = 90.00°
Space group I4_1/amd (No. 141, origin choice 2)
Unique sites:
Ca 0.000 0.250 0.375 (multiplicity 4)
Mg 0.000 0.250 0.875 (multiplicity 4)
B 0.000 0.000 0.000 (multiplicity 8)

## Properties
Energy: -55.27 eV for the cell shown
ΔH_f (0 K): 0.783 eV/atom

A plane-wave DFT calculation with GGA-PBE was carried out for a geometry-optimized CaMgBN2 structure.

a = 4.075 Å, b = 4.075 Å, c = 4.252 Å
α = 90.00°, β = 90.00°, γ = 90.00°
Space group P4/mmm (No. 123)
Unique sites:
Ca 0.000 0.000 0.000 (multiplicity 1)
Mg 0.500 0.500 0.500 (multiplicity 1)
B 0.500 0.500 0.000 (multiplicity 1)
N 0.000 0.500 0.500 (multiplicity 2)

## Properties
Energy: -21.63 eV for the cell shown
E above lowest polymorph: 1.747 eV per atom

no.,Fermi-level density of states (states/eV per cell)
1,7.3
2,3.1